(1)
DFT (PBE-GGA) results for a relaxed structure of Dy4GaHgSe2.

```
Dy4GaHgSe2
1.0
-1.3605 -3.6893 -0.6056
5.6933 -1.5057 -3.6171
1.4720 -1.7600 7.4153
Dy Ga Hg Se
4 1 1 2
Cartesian
1.1876 -2.7012 0.7195
4.6173 -4.2538 2.4731
2.5314 -1.6857 4.5828
4.6340 -1.5800 -0.7846
2.1664 -2.5975 -2.1114
0.0000 0.0000 0.0000
3.5827 -1.6329 1.8991
0.0558 -2.7247 3.4049
```

Output
E_form (uncorrected): -1127.1 meV per atom



(2)
DFT (PBE-GGA) results for a relaxed structure of SmDyGaHg.

```
SmDyGaHg
1.0
5.2332 0.0000 0.0000
2.6166 4.5321 0.0000
2.6166 1.5107 4.2729
Sm Dy Hg Ga
1 1 1 1
Cartesian
0.0000 0.0000 0.0000
5.2332 3.0214 2.1365
7.8498 4.5321 3.2047
2.6166 1.5107 1.0682
```

Output
energy relative to the elements: -0.506 eV per atom



(3)
DFT (PBE-GGA) results for a relaxed structure of SrDyGaHg.

```
SrDyGaHg
1.0
5.3703 0.0000 0.0000
2.6852 4.6509 0.0000
2.6852 1.5503 4.3849
Sr Ga Dy Hg
1 1 1 1
Cartesian
0.0000 0.0000 0.0000
2.6852 1.5503 1.0962
5.3703 3.1006 2.1924
8.0555 4.6509 3.2887
```

Output
energy relative to the elements: -0.426 eV per atom



(4)
DFT (PBE-GGA) results for a relaxed structure of Dy8Ga3HgTe4.

```
Dy8Ga3HgTe4
1.0
-4.4176 -6.7692 1.6172
7.5544 -4.6120 1.3308
-1.1215 6.8231 4.4871
Dy Te Ga Hg
8 4 3 1
Cartesian
-1.9061 -2.8652 3.8099
0.3101 0.5285 3.0595
-1.3557 -6.2135 1.6079
3.3710 1.6553 5.8271
1.7052 -5.0867 4.3756
3.9214 -1.6930 3.6252
1.2032 -1.6666 6.6207
0.8122 -2.8916 0.8143
-2.7695 0.0269 3.0521
0.0000 0.0000 0.0000
-0.5608 3.4115 2.2435
-2.2088 -3.3846 0.8086
1.0077 -2.2791 3.7175
3.2165 1.1055 2.9090
1.5684 -5.6906 1.4740
3.7772 -2.3060 0.6654
```

Output
E_form (uncorrected): -911.4 meV per atom



(5)
DFT (PBE-GGA) results for a relaxed structure of Dy4GaHgTe2.

```
Dy4GaHgTe2
1.0
-3.9914 0.2117 1.0648
-0.2383 -7.1296 0.5242
2.0660 2.8469 7.1783
Dy Te Ga Hg
4 2 1 1
Cartesian
1.5118 0.3110 5.6052
-1.5522 -1.0094 2.4165
0.3158 -4.5936 2.0972
-0.6115 -3.0615 6.3507
0.9138 -2.1413 3.8512
-0.9627 1.5293 4.1215
-2.1149 -3.4589 0.7945
0.0000 0.0000 0.0000
```

Output
E_form (uncorrected): -893.3 meV per atom



(6)
DFT (PBE-GGA) results for a relaxed structure of DyTiGaHg.

```
DyTiGaHg
1.0
4.9345 0.0000 0.0000
2.4673 4.2734 0.0000
2.4673 1.4245 4.0290
Ga Dy Ti Hg
1 1 1 1
Cartesian
0.0000 0.0000 0.0000
2.4673 1.4245 1.0073
7.4018 4.2734 3.0218
4.9345 2.8490 2.0145
```

Output
energy relative to the elements: -0.254 eV per atom



(7)
DFT (PBE-GGA) results for a relaxed structure of DyTlGaHg.

```
DyTlGaHg
1.0
5.1833 0.0000 0.0000
2.5916 4.4889 0.0000
2.5916 1.4963 4.2321
Tl Dy Ga Hg
1 1 1 1
Cartesian
0.0000 0.0000 0.0000
5.1833 2.9926 2.1161
7.7749 4.4889 3.1741
2.5916 1.4963 1.0580
```

Output
energy relative to the elements: -0.175 eV per atom



(8)
DFT (PBE-GGA) results for a relaxed structure of Dy4TlGaHg2.

```
Dy4TlGaHg2
1.0
-4.9947 -0.1560 1.5894
-2.5250 -4.5882 0.2651
0.1026 -2.5490 8.7225
Dy Ga Tl Hg
4 1 1 2
Cartesian
-4.6513 -3.2970 2.3603
-2.7659 -3.9962 8.2167
-0.9085 -2.1740 5.5819
-6.5087 -5.1191 4.9951
-3.7086 -3.6466 5.2885
0.0000 0.0000 0.0000
-1.8666 -1.8187 2.6059
-5.5506 -5.4744 7.9711
```

Output
energy relative to the elements: -0.464 eV per atom



(9)
DFT (PBE-GGA) results for a relaxed structure of DyTmGaHg.

```
DyTmGaHg
1.0
3.6011 0.0000 0.0000
0.0000 3.6011 0.0000
0.0000 0.0000 7.3515
Tm Ga Hg Dy
1 1 1 1
Cartesian
0.0000 0.0000 2.7130
1.8006 1.8006 4.4250
1.8006 1.8006 0.8399
0.0000 0.0000 6.1955
```

Output
energy relative to the elements: -0.527 eV per atom



(10)
DFT (PBE-GGA) results for a relaxed structure of DyTmGaHg.

```
DyTmGaHg
1.0
5.1456 0.0000 0.0000
2.5728 4.4562 0.0000
2.5728 1.4854 4.2014
Dy Hg Tm Ga
1 1 1 1
Cartesian
0.0000 0.0000 0.0000
7.7184 4.4562 3.1510
5.1456 2.9708 2.1007
2.5728 1.4854 1.0503
```

Output
energy relative to the elements: -0.505 eV per atom



(11)
DFT (PBE-GGA) results for a relaxed structure of DyYGaHg.

```
DyYGaHg
1.0
5.1819 0.0000 0.0000
2.5909 4.4877 0.0000
2.5909 1.4959 4.2310
Y Hg Dy Ga
1 1 1 1
Cartesian
7.7728 4.4877 3.1732
5.1819 2.9918 2.1155
2.5909 1.4959 1.0577
0.0000 0.0000 0.0000
```

Output
energy relative to the elements: -0.526 eV per atom



(12)
DFT (PBE-GGA) results for a relaxed structure of DyZrGaHg.

```
DyZrGaHg
1.0
5.0179 0.0000 0.0000
2.5089 4.3456 0.0000
2.5089 1.4485 4.0971
Dy Hg Ga Zr
1 1 1 1
Cartesian
0.0000 0.0000 0.0000
7.5268 4.3456 3.0728
2.5089 1.4485 1.0243
5.0179 2.8971 2.0485
```

Output
energy relative to the elements: -0.356 eV per atom



(13)
DFT (PBE-GGA) results for a relaxed structure of DyHoGa.

```
DyHoGa
1.0
-0.8355 2.4526 -2.5513
2.2445 -2.7950 -3.4218
-4.8192 -0.6472 0.9560
Dy Ho Ga
1 1 1
Cartesian
-2.7944 -0.3953 -1.5100
-0.7778 2.2831 -2.3750
-0.6736 -0.4248 -3.6833
```

Output
energy relative to the elements: -0.274 eV per atom



(14)
DFT (PBE-GGA) results for a relaxed structure of Dy4HoGa5.

```
Dy4HoGa5
1.0
-2.9189 -0.5429 -1.9676
2.0373 -0.5662 -2.8662
0.6234 -17.4568 3.8915
Ga Dy Ho
5 4 1
Cartesian
-0.2541 -5.7840 -1.2511
0.1209 -16.2840 1.0896
-0.0042 -12.7818 0.3089
-0.3791 -2.2818 -2.0318
-0.1291 -9.2829 -0.4711
0.2492 -6.9793 1.5559
0.1243 -3.4799 0.7758
0.3741 -10.4775 2.3357
0.4991 -13.9769 3.1158
0.0000 0.0000 0.0000
```

Output
energy relative to the elements: -0.583 eV per atom



(15)
DFT (PBE-GGA) results for a relaxed structure of Dy2HoGa2.

```
Dy2HoGa2
1.0
4.3199 0.0000 0.0000
0.0000 7.6337 0.0000
0.0000 0.0000 7.6337
Ga Dy Ho
4 4 2
Cartesian
0.0000 0.9165 2.9003
0.0000 4.7334 0.9165
0.0000 2.9003 6.7172
0.0000 6.7172 4.7334
2.1599 5.1479 6.3026
2.1599 1.3311 5.1479
2.1599 6.3026 2.4858
2.1599 2.4858 1.3311
0.0000 3.8169 3.8169
0.0000 0.0000 0.0000
```

Output
energy relative to the elements: -0.523 eV per atom



(16)
DFT (PBE-GGA) results for a relaxed structure of DyHo2Ga.

```
DyHo2Ga
1.0
3.6282 0.0005 0.0000
-1.8149 6.3312 0.0000
0.0000 0.0000 9.5763
Ga Dy Ho
2 2 4
Cartesian
-0.0007 3.2106 2.3941
1.8140 3.1211 7.1822
1.8134 5.6541 2.3941
0.0000 0.6775 7.1822
0.0007 4.6183 9.1317
0.0007 4.6183 5.2328
1.8127 1.7134 0.4446
1.8127 1.7134 4.3436
```

Output
energy relative to the elements: -0.279 eV per atom



(17)
DFT (PBE-GGA) results for a relaxed structure of Dy2Ho5Ga5.

```
Dy2Ho5Ga5
1.0
-0.9096 -4.2967 -1.2074
6.0098 0.8374 1.0840
-5.7092 -1.8920 11.0340
Ga Ho Dy
5 5 2
Cartesian
1.9100 -1.0811 2.4084
-0.8598 -1.2555 5.1156
-2.5189 -4.2702 8.5023
0.0000 0.0000 0.0000
0.2509 -4.0958 5.7951
0.0019 -3.2769 3.0683
-1.7581 -2.7377 11.0669
-0.6108 -2.0744 7.8424
-3.3094 -3.0944 4.9133
1.1491 -2.6136 -0.1563
3.3803 -3.7739 2.2920
-3.9892 -1.5774 8.6187
```

Output
energy relative to the elements: -0.402 eV per atom



(18)
DFT (PBE-GGA) results for a relaxed structure of Dy4HoGa4.

```
Dy4HoGa4
1.0
-2.3406 3.9439 1.1339
-3.8007 -4.5646 8.0309
7.7999 3.0666 5.4344
Ga Dy Ho
8 8 2
Cartesian
2.9202 1.0400 12.2504
-1.2611 1.4053 2.3486
1.2826 4.0555 8.2230
5.0061 4.1780 5.6449
-1.9641 2.3336 7.5099
2.0904 -0.1823 4.9510
-3.3478 -1.7313 8.9545
1.9084 -1.3149 8.5145
4.1004 2.9061 8.1952
1.1728 2.4523 3.7350
0.4854 -0.0054 10.8644
2.0026 3.6743 11.0344
-0.5301 -2.8805 8.9268
-2.6840 2.7146 4.6985
4.5288 1.3835 4.5388
-2.4412 -0.4611 6.4037
0.0000 0.0000 0.0000
0.8293 1.2230 7.2996
```

Output
energy relative to the elements: -0.397 eV per atom



(19)
DFT (PBE-GGA) results for a relaxed structure of DyHo2Ga.

```
DyHo2Ga
1.0
-3.1578 0.2392 1.4373
-1.6848 -2.8786 0.9850
3.0633 -0.1430 10.9617
Dy Ga Ho
1 1 2
Cartesian
0.0000 0.0000 0.0000
-0.8896 -1.3912 6.6920
1.6329 -0.3683 7.8565
-3.4122 -2.4140 5.5275
```

Output
energy relative to the elements: 0.005 eV per atom



(20)
DFT (PBE-GGA) results for a relaxed structure of DyHoGa.

```
DyHoGa
1.0
-3.9681 -0.7916 -1.8885
-0.6691 -3.3914 2.8265
-3.4237 4.9442 5.1225
Ga Ho Dy
2 2 2
Cartesian
-5.6521 2.1815 3.0446
-2.4089 -1.4203 3.0159
-4.3845 0.3507 1.1471
-3.6765 0.4105 4.9134
-1.1591 -1.0456 0.2345
-3.4781 -3.1374 0.7036
```

Output
energy relative to the elements: -0.344 eV per atom



Number 1: E -37.72 eV/cell. Number 2: E -14.67 eV/cell. Number 3: E -11.32 eV/cell. Number 4: E -73.35 eV/cell. Number 5: E -35.17 eV/cell. Number 6: E -16.84 eV/cell. Number 7: E -11.00 eV/cell. Number 8: E -28.11 eV/cell. Number 9: E -14.51 eV/cell. Number 10: E -14.42 eV/cell. Number 11: E -16.50 eV/cell. Number 12: E -17.90 eV/cell. Number 13: E -13.03 eV/cell. Number 14: E -43.95 eV/cell. Number 15: E -44.90 eV/cell. Number 16: E -35.80 eV/cell. Number 17: E -52.05 eV/cell. Number 18: E -77.33 eV/cell. Number 19: E -16.76 eV/cell. Number 20: E -26.48 eV/cell.